1.
Compound: Ac2Pr4Nd5
Source: the Alexandria database
Functional: GGA-PBE
Structure: relaxed

```
Ac2Pr4Nd5
1.0
-1.5530 0.4008 3.2642
6.4209 -9.3782 4.2064
1.2435 15.0997 -3.2886
Ac Nd Pr
2 5 4
direct
0.0955 0.7375 0.1911 Ac
0.9045 0.2625 0.8089 Ac
0.2394 0.8258 0.4788 Nd
0.5000 0.0000 0.0000 Nd
0.7606 0.1742 0.5212 Nd
0.8685 0.8998 0.7369 Nd
0.1315 0.1002 0.2631 Nd
0.9456 0.6418 0.8912 Pr
0.6854 0.4578 0.3708 Pr
0.0544 0.3582 0.1088 Pr
0.3146 0.5422 0.6292 Pr
```

Results
DOS at the Fermi energy = 17.668 states/eV per cell
volume = 37.80 Å³ per atom
SG = No. 12
polymorph energy (0 for the lowest one) = 0.006 eV/atom
formation enthalpy at 0 K = 132 meV per atom

---

2.
Compound: Nd2Dy3Ho3
Source: the Alexandria database
Functional: GGA-PBE
Structure: relaxed

```
Nd2Dy3Ho3
1.0
-4.8839 1.2932 0.2095
-1.2700 -4.4751 -1.9816
2.4369 -2.3239 10.1344
Nd Ho Dy
2 3 3
direct
0.2499 0.7499 0.4998 Nd
0.7501 0.2501 0.5002 Nd
0.8771 0.8771 0.7543 Ho
0.1229 0.1229 0.2457 Ho
0.0000 0.5000 0.0000 Ho
0.3772 0.3772 0.7544 Dy
0.6228 0.6228 0.2456 Dy
0.5000 0.0000 0.0000 Dy
```

Results
DOS at the Fermi energy = 11.675 states/eV per cell
volume = 32.16 Å³ per atom
SG = No. 71
polymorph energy (0 for the lowest one) = 0.000 eV/atom
formation enthalpy at 0 K = 22 meV per atom

---

3.
Compound: NdP2Pd5
Source: the Alexandria database
Functional: GGA-PBE
Structure: relaxed

```
NdP2Pd5
1.0
4.1172 0.0000 0.0000
2.0586 5.8397 0.2749
2.0586 1.3431 5.6898
Pd P Nd
5 2 1
direct
0.0000 0.5000 0.5000 Pd
0.6547 0.5425 0.1481 Pd
0.6547 0.1481 0.5425 Pd
0.3453 0.8519 0.4575 Pd
0.3453 0.4575 0.8519 Pd
0.2499 0.2501 0.2501 P
0.7501 0.7499 0.7499 P
0.0000 0.0000 0.0000 Nd
```

Results
DOS at the Fermi energy = 3.653 states/eV per cell
volume = 16.91 Å³ per atom
SG = No. 71
formation enthalpy at 0 K = -745 meV per atom

---

4.
Compound: CeHoAg
Source: the Alexandria database
Functional: GGA-PBE
Structure: relaxed

```
CeHoAg
1.0
-1.6469 -0.5340 3.0002
4.3493 -1.6856 2.0875
-1.1890 4.9647 0.2310
Ce Ho Ag
1 1 1
direct
0.0238 0.0000 0.0000 Ce
0.6069 0.6667 0.3333 Ho
0.3693 0.3333 0.6667 Ag
```

Results
DOS at the Fermi energy = 6.724 states/eV per cell
volume = 26.11 Å³ per atom
SG = No. 156
polymorph energy (0 for the lowest one) = 0.182 eV/atom
formation enthalpy at 0 K = 68 meV per atom

---

Q: Which of these has the highest formation enthalpy at 0 K?
A: Ac2Pr4Nd5

---

Repeat the third record exactly.
Compound: NdP2Pd5
Source: the Alexandria database
Functional: GGA-PBE
Structure: relaxed

```
NdP2Pd5
1.0
4.1172 0.0000 0.0000
2.0586 5.8397 0.2749
2.0586 1.3431 5.6898
Pd P Nd
5 2 1
direct
0.0000 0.5000 0.5000 Pd
0.6547 0.5425 0.1481 Pd
0.6547 0.1481 0.5425 Pd
0.3453 0.8519 0.4575 Pd
0.3453 0.4575 0.8519 Pd
0.2499 0.2501 0.2501 P
0.7501 0.7499 0.7499 P
0.0000 0.0000 0.0000 Nd
```

Results
DOS at the Fermi energy = 3.653 states/eV per cell
volume = 16.91 Å³ per atom
SG = No. 71
formation enthalpy at 0 K = -745 meV per atom

---

Please write out number 1 again, unchanged.
Compound: Ac2Pr4Nd5
Source: the Alexandria database
Functional: GGA-PBE
Structure: relaxed

```
Ac2Pr4Nd5
1.0
-1.5530 0.4008 3.2642
6.4209 -9.3782 4.2064
1.2435 15.0997 -3.2886
Ac Nd Pr
2 5 4
direct
0.0955 0.7375 0.1911 Ac
0.9045 0.2625 0.8089 Ac
0.2394 0.8258 0.4788 Nd
0.5000 0.0000 0.0000 Nd
0.7606 0.1742 0.5212 Nd
0.8685 0.8998 0.7369 Nd
0.1315 0.1002 0.2631 Nd
0.9456 0.6418 0.8912 Pr
0.6854 0.4578 0.3708 Pr
0.0544 0.3582 0.1088 Pr
0.3146 0.5422 0.6292 Pr
```

Results
DOS at the Fermi energy = 17.668 states/eV per cell
volume = 37.80 Å³ per atom
SG = No. 12
polymorph energy (0 for the lowest one) = 0.006 eV/atom
formation enthalpy at 0 K = 132 meV per atom

---

Q: Among the records above, which one has the lowest volume?
A: NdP2Pd5